Computed, not measured: a geometry-optimized ErIn2Pd9 structure at the PBE level of DFT.

```
data_ErIn2Pd9
_cell_length_a 4.059
_cell_length_b 4.059
_cell_length_c 12.203
_cell_angle_alpha 90.00
_cell_angle_beta 90.00
_cell_angle_gamma 90.00
_space_group_name_H-M_alt 'P 1'
_space_group_IT_number 1
_space_group_name_Hall 'P 1'
loop_
_atom_site_label
_atom_site_type_symbol
_atom_site_fract_x
_atom_site_fract_y
_atom_site_fract_z
_atom_site_occupancy
Er1 Er 0.000 0.000 0.000 1
In1 In 0.000 0.000 0.337 1
In2 In 0.000 0.000 0.663 1
Pd1 Pd 0.000 0.500 0.171 1
Pd2 Pd 0.000 0.500 0.500 1
Pd3 Pd 0.000 0.500 0.829 1
Pd4 Pd 0.500 0.000 0.171 1
Pd5 Pd 0.500 0.000 0.500 1
Pd6 Pd 0.500 0.000 0.829 1
Pd7 Pd 0.500 0.500 0.000 1
Pd8 Pd 0.500 0.500 0.334 1
Pd9 Pd 0.500 0.500 0.666 1
```

Results
Its formation energy is -0.5897 eV/atom.